1.
An optimized crystal structure of CePu4Tc3, computed with PBE-GGA.

```
data_CePu4Tc3
_space_group_name_H-M_alt 'P 4/m m m'
_space_group_IT_number 123
_space_group_name_Hall '-P 4 2'
_cell_length_a 4.823
_cell_length_b 4.823
_cell_length_c 7.067
_cell_angle_alpha 90.00
_cell_angle_beta 90.00
_cell_angle_gamma 90.00
loop_
_atom_site_label
_atom_site_type_symbol
_atom_site_fract_x
_atom_site_fract_y
_atom_site_fract_z
Ce1 Ce 0.000 0.000 0.000
Pu1 Pu 0.000 0.500 0.265
Tc1 Tc 0.000 0.000 0.500
Tc2 Tc 0.500 0.500 0.000
Tc3 Tc 0.500 0.500 0.500
```

## Properties
ΔE_f: 0.069 eV per atom
DFT total energy: -11.725 eV/atom

***

2.
An optimized crystal structure of Gd2OsCl, computed with PBE-GGA.

```
data_Gd2OsCl
_space_group_name_H-M_alt 'P 4/m m m'
_space_group_IT_number 123
_space_group_name_Hall '-P 4 2'
_cell_length_a 3.364
_cell_length_b 3.364
_cell_length_c 8.034
_cell_angle_alpha 90.00
_cell_angle_beta 90.00
_cell_angle_gamma 90.00
loop_
_atom_site_label
_atom_site_type_symbol
_atom_site_fract_x
_atom_site_fract_y
_atom_site_fract_z
Gd1 Gd 0.000 0.000 0.215
Os1 Os 0.500 0.500 0.000
Cl1 Cl 0.500 0.500 0.500
```

## Properties
ΔE to the lowest computed polymorph: 0.0 kJ/mol of formula units
Energy relative to the elements, uncorrected: -0.831 eV/atom
DFT total energy: -11.141 eV/atom

***

3.
An optimized crystal structure of LaTaBe2, computed with PBE-GGA.

```
data_LaTaBe2
_space_group_name_H-M_alt 'F -4 3 m'
_space_group_IT_number 216
_space_group_name_Hall 'F -4 2 3'
_cell_length_a 6.483
_cell_length_b 6.483
_cell_length_c 6.483
_cell_angle_alpha 90.00
_cell_angle_beta 90.00
_cell_angle_gamma 90.00
loop_
_atom_site_label
_atom_site_type_symbol
_atom_site_fract_x
_atom_site_fract_y
_atom_site_fract_z
La1 La 0.000 0.000 0.000
Ta1 Ta 0.250 0.250 0.750
Be1 Be 0.000 0.000 0.500
Be2 Be 0.250 0.250 0.250
```

## Properties
ΔE to the lowest computed polymorph: 289.2 kJ/mol of formula units
ΔE_f: 0.939 eV per atom
DFT total energy: -5.119 eV/atom

***

4.
An optimized crystal structure of CaZr2Cl, computed with PBE-GGA.

```
data_CaZr2Cl
_space_group_name_H-M_alt 'R -3 m'
_space_group_IT_number 166
_space_group_name_Hall '-R 3 2"'
_cell_length_a 3.2693
_cell_length_b 3.2693
_cell_length_c 30.8379
_cell_angle_alpha 90.00
_cell_angle_beta 90.00
_cell_angle_gamma 120.00
loop_
_atom_site_label
_atom_site_type_symbol
_atom_site_fract_x
_atom_site_fract_y
_atom_site_fract_z
Ca1 Ca 0.0000 0.0000 0.0000
Zr1 Zr 0.0000 0.0000 0.2370
Cl1 Cl 0.0000 0.0000 0.5000
```

## Properties
ΔE to the lowest computed polymorph: 129.5 kJ/mol of formula units
Energy relative to the elements, uncorrected: -0.143 eV/atom
DFT total energy: -5.379 eV/atom